First-principles (PBE) data for PrSc5Bi6 after structural relaxation, as listed in Alexandria.

Geometry as POSCAR:
```
PrSc5Bi6
1.0
3.751 -6.505 0.000
3.751 6.505 0.000
-2.530 0.000 7.081
Pr Sc Bi
1 5 6
Direct
0.000 0.000 0.000 Pr
0.159 0.841 0.500 Sc
0.331 0.669 0.000 Sc
0.500 0.500 0.500 Sc
0.669 0.331 0.000 Sc
0.841 0.159 0.500 Sc
0.088 0.436 0.261 Bi
0.265 0.265 0.747 Bi
0.436 0.088 0.261 Bi
0.564 0.912 0.739 Bi
0.735 0.735 0.253 Bi
0.912 0.564 0.739 Bi
```

DOS(E_F)   2.7 states/eV/cell
Magnetic moment   0.000 μB/atom
Calculated volume   28.8 Å³ per atom
Raw total energy   -68.04 eV for the cell shown
ΔH_f (0 K)   -15.99 kcal/mol of atoms